1.
# Pm2NdGa

Crystalline Pm2NdGa at its relaxed geometry (PBE, Alexandria).

As for the calculated volume: 384.3 Å³/cell. As for the polymorph energy (0 for the lowest one): 0.96 eV per formula unit. For the formation energy, the calculation gives -0.02 eV per atom.

The space group is R-3m (No. 166, hexagonal axes) and the conventional cell measures 3.5839, 3.5839 and 34.5442 Å, with angles of 90.00, 90.00 and 120.00 degrees. Symmetry generates all atoms from Pm at (0.0000, 0.0000, 0.1026), Nd at (0.0000, 0.0000, 0.0000) and Ga at (0.0000, 0.0000, 0.5000).



2.
# SrAc2As3

Crystalline SrAc2As3 at its relaxed geometry (PBE, Alexandria).

As for the calculated volume: 198.7 Å³/cell. For the formation energy, the calculation gives -1.26 eV per atom.

The space group is P-3m1 (No. 164) and the conventional cell measures 4.5439, 4.5439 and 11.1127 Å, with angles of 90.00, 90.00 and 120.00 degrees. Symmetry generates all atoms from Sr at (0.0000, 0.0000, 0.0000), Ac at (0.3333, 0.6667, 0.6716), As at (0.0000, 0.0000, 0.5000) and As at (0.3333, 0.6667, 0.1717).



3.
# KSc2Fe

Crystalline KSc2Fe at its relaxed geometry (PBE, Alexandria).

As for the calculated volume: 209.0 Å³/cell. As for the polymorph energy (0 for the lowest one): 1.63 eV per formula unit. For the formation energy, the calculation gives 0.55 eV per atom.

The space group is Immm (No. 71) and the conventional cell measures 3.296, 6.148 and 10.311 Å, with angles of 90.00, 90.00 and 90.00 degrees. Symmetry generates all atoms from K at (0.000, 0.000, 0.000), Sc at (0.000, 0.500, 0.180) and Fe at (0.000, 0.000, 0.500).



4.
# BIrCl3

Crystalline BIrCl3 at its relaxed geometry (PBE, Alexandria).

As for the calculated volume: 110.6 Å³/cell. The uncorrected formation energy comes out at 0.916 eV per atom.

The space group is Pm-3m (No. 221) and the conventional cell measures 4.800, 4.800 and 4.800 Å, with angles of 90.00, 90.00 and 90.00 degrees. Symmetry generates all atoms from B at (0.000, 0.000, 0.000), Ir at (0.500, 0.500, 0.500) and Cl at (0.000, 0.500, 0.500).